Record 1
## LaAsPRh6 (PBE-GGA)

Data for crystalline LaAsPRh6 at its relaxed geometry.

Calculated values
The energy of formation is -0.272 eV/atom. The magnetization comes out at 0.00 Bohr magnetons per cell. Its density of states at the Fermi level is 0.69 states/eV per atom. The value obtained for the density is 8.6 g cm⁻³.

Geometry as CIF:
```
data_LaAsPRh6
_cell_length_a 7.827
_cell_length_b 7.827
_cell_length_c 7.827
_cell_angle_alpha 126.33
_cell_angle_beta 114.43
_cell_angle_gamma 89.66
_symmetry_space_group_name_H-M 'P 1'
_symmetry_Int_Tables_number 1
loop_
_symmetry_equiv_pos_as_xyz
'x,y,z'
loop_
_atom_site_label
_atom_site_type_symbol
_atom_site_fract_x
_atom_site_fract_y
_atom_site_fract_z
La1 La 0.420 0.170 0.250
La2 La 0.580 0.830 0.750
As1 As 0.000 0.000 0.500
As2 As 0.000 0.500 0.000
P1 P 0.000 0.500 0.500
P2 P 0.500 0.500 0.000
Rh1 Rh 0.112 0.380 0.240
Rh2 Rh 0.112 0.872 0.732
Rh3 Rh 0.147 0.897 0.250
Rh4 Rh 0.323 0.573 0.750
Rh5 Rh 0.361 0.128 0.740
Rh6 Rh 0.361 0.620 0.232
Rh7 Rh 0.639 0.380 0.768
Rh8 Rh 0.639 0.872 0.260
Rh9 Rh 0.677 0.427 0.250
Rh10 Rh 0.853 0.103 0.750
Rh11 Rh 0.888 0.128 0.268
Rh12 Rh 0.888 0.620 0.760
```



Record 2
## AlZnMo2 (PBE-GGA)

Data for crystalline AlZnMo2 at its relaxed geometry.

Calculated values
The energy of formation is 0.484 eV/atom. The magnetization comes out at 0.00 Bohr magnetons per cell. Its density of states at the Fermi level is 0.90 states/eV per atom. The value obtained for the density is 7.3 g cm⁻³.

Geometry as CIF:
```
data_AlZnMo2
_cell_length_a 5.606
_cell_length_b 5.606
_cell_length_c 5.606
_cell_angle_alpha 103.02
_cell_angle_beta 103.02
_cell_angle_gamma 123.33
_symmetry_space_group_name_H-M 'P 1'
_symmetry_Int_Tables_number 1
loop_
_symmetry_equiv_pos_as_xyz
'x,y,z'
loop_
_atom_site_label
_atom_site_type_symbol
_atom_site_fract_x
_atom_site_fract_y
_atom_site_fract_z
Al1 Al 0.000 0.000 0.000
Al2 Al 0.750 0.250 0.500
Zn1 Zn 0.250 0.750 0.500
Zn2 Zn 0.500 0.500 0.000
Mo1 Mo 0.124 0.625 0.999
Mo2 Mo 0.375 0.374 0.499
Mo3 Mo 0.626 0.125 0.001
Mo4 Mo 0.875 0.876 0.501
```



Record 3
## CdCoTeI2 (PBE-GGA)

Data for crystalline CdCoTeI2 at its relaxed geometry.

Calculated values
The uncorrected formation energy comes out at 263 meV per atom. The magnetization comes out at 0.66 Bohr magnetons per cell. Its density of states at the Fermi level is 1.09 states/eV per atom. The value obtained for the density is 6.3 g cm⁻³.

Geometry as CIF:
```
data_CdCoTeI2
_cell_length_a 5.458
_cell_length_b 5.458
_cell_length_c 4.923
_cell_angle_alpha 90.00
_cell_angle_beta 90.00
_cell_angle_gamma 90.00
_symmetry_space_group_name_H-M 'P 1'
_symmetry_Int_Tables_number 1
loop_
_symmetry_equiv_pos_as_xyz
'x,y,z'
loop_
_atom_site_label
_atom_site_type_symbol
_atom_site_fract_x
_atom_site_fract_y
_atom_site_fract_z
Cd1 Cd 0.000 0.000 0.000
Co1 Co 0.500 0.500 0.500
Te1 Te 0.500 0.500 0.000
I1 I 0.000 0.500 0.500
I2 I 0.500 0.000 0.500
```



Record 4
## TlC2 (PBE-GGA)

Data for crystalline TlC2 at its relaxed geometry.

Calculated values
The energy of formation is 0.918 eV/atom. The magnetization comes out at 0.00 Bohr magnetons per cell. Its density of states at the Fermi level is 0.40 states/eV per atom. The value obtained for the density is 7.0 g cm⁻³.

Geometry as CIF:
```
data_TlC2
_cell_length_a 6.565
_cell_length_b 6.565
_cell_length_c 6.282
_cell_angle_alpha 90.51
_cell_angle_beta 90.51
_cell_angle_gamma 23.43
_symmetry_space_group_name_H-M 'P 1'
_symmetry_Int_Tables_number 1
loop_
_symmetry_equiv_pos_as_xyz
'x,y,z'
loop_
_atom_site_label
_atom_site_type_symbol
_atom_site_fract_x
_atom_site_fract_y
_atom_site_fract_z
Tl1 Tl 0.128 0.128 0.095
Tl2 Tl 0.872 0.872 0.905
C1 C 0.127 0.127 0.618
C2 C 0.373 0.373 0.383
C3 C 0.627 0.627 0.617
C4 C 0.873 0.873 0.382
```



Record 5
## Dy2Cd2Ni15 (PBE-GGA)

Data for crystalline Dy2Cd2Ni15 at its relaxed geometry.

Calculated values
The energy of formation is -0.156 eV/atom. The magnetization comes out at 4.13 Bohr magnetons per cell. Its density of states at the Fermi level is 1.22 states/eV per atom. The value obtained for the density is 9.3 g cm⁻³.

Geometry as CIF:
```
data_Dy2Cd2Ni15
_cell_length_a 6.389
_cell_length_b 6.389
_cell_length_c 6.389
_cell_angle_alpha 83.01
_cell_angle_beta 83.01
_cell_angle_gamma 83.01
_symmetry_space_group_name_H-M 'P 1'
_symmetry_Int_Tables_number 1
loop_
_symmetry_equiv_pos_as_xyz
'x,y,z'
loop_
_atom_site_label
_atom_site_type_symbol
_atom_site_fract_x
_atom_site_fract_y
_atom_site_fract_z
Dy1 Dy 0.148 0.148 0.148
Dy2 Dy 0.852 0.852 0.852
Cd1 Cd 0.395 0.395 0.395
Cd2 Cd 0.605 0.605 0.605
Ni1 Ni 0.000 0.500 0.500
Ni2 Ni 0.152 0.152 0.664
Ni3 Ni 0.152 0.664 0.152
Ni4 Ni 0.192 0.500 0.808
Ni5 Ni 0.192 0.808 0.500
Ni6 Ni 0.336 0.848 0.848
Ni7 Ni 0.500 0.000 0.500
Ni8 Ni 0.500 0.192 0.808
Ni9 Ni 0.500 0.500 0.000
Ni10 Ni 0.500 0.808 0.192
Ni11 Ni 0.664 0.152 0.152
Ni12 Ni 0.808 0.192 0.500
Ni13 Ni 0.808 0.500 0.192
Ni14 Ni 0.848 0.336 0.848
Ni15 Ni 0.848 0.848 0.336
```



Record 6
## CeYHo2N4 (PBE-GGA)

Data for crystalline CeYHo2N4 at its relaxed geometry.

Calculated values
The uncorrected formation energy comes out at -1665 meV per atom. The magnetization comes out at 0.14 Bohr magnetons per cell. Its density of states at the Fermi level is 0.43 states/eV per atom. The value obtained for the density is 8.5 g cm⁻³.

Geometry as CIF:
```
data_CeYHo2N4
_cell_length_a 6.028
_cell_length_b 3.489
_cell_length_c 6.029
_cell_angle_alpha 90.00
_cell_angle_beta 109.31
_cell_angle_gamma 90.00
_symmetry_space_group_name_H-M 'P 1'
_symmetry_Int_Tables_number 1
loop_
_symmetry_equiv_pos_as_xyz
'x,y,z'
loop_
_atom_site_label
_atom_site_type_symbol
_atom_site_fract_x
_atom_site_fract_y
_atom_site_fract_z
Ce1 Ce 0.000 0.000 0.000
Y1 Y 0.500 0.500 0.000
Ho1 Ho 0.000 0.500 0.500
Ho2 Ho 0.500 0.000 0.500
N1 N 0.247 0.000 0.749
N2 N 0.250 0.500 0.252
N3 N 0.750 0.500 0.748
N4 N 0.753 0.000 0.251
```